DFT (PBE) results for crystalline Co3Re4 at its relaxed geometry.

Summary:
formation enthalpy at 0 K	177	meV per atom
N(E_F)	18.3	states/eV per cell
E_tot	-0.367	hartree per atom

a b c (Å): 3.0903 3.0903 19.5216
angles (deg): 90.00 90.00 90.00
Closest atoms and distances in Å follow each position.
Space group I4/mmm (No. 139)
Unique sites:
Co  0.0000  0.0000  0.0000  10 Re 2.60-2.89
Co  0.0000  0.0000  0.2778  4 Co 2.44, 5 Re 2.53-2.62
Re  0.0000  0.0000  0.1483  5 Co 2.53-2.62, 4 Re 2.64
Re  0.0000  0.0000  0.4276  4 Co 2.60, 5 Re 2.64-2.83